Density functional theory data (PBE+U) for an optimized crystal structure of BeCrSe2O.

a b c (Å): 5.1606 5.1606 2.9260
angles (deg): 90.00 90.00 90.00
Positions (direct):
Be 0.0000 0.0000 0.0000
Cr 0.5000 0.5000 0.5000
Se 0.0000 0.5000 0.0000
Se 0.5000 0.0000 0.0000
O 0.0000 0.0000 0.5000

Uncorrected energy (eV per cell): -25.82
Crystal system: tetragonal
V (Å³/atom): 15.6
Total moment (Bohr magnetons per cell): 3.942